(1)
Entry from the Alexandria database: ZnCrSCl2 at its PBEsol-relaxed geometry (meta-GGA SCAN).

Calculated values
Formation energy (no corrections) in eV per atom: -0.312
Magnetic moment in μB/cell: 4.024
Symmetry: No. 123

Unit cell a=4.6159 b=4.6159 c=4.8518 alpha=90.00 beta=90.00 gamma=90.00
Site moments in Bohr magnetons follow the coordinates.
Atoms (fractional coordinates):
1 Cr 0.5000 0.5000 0.5000  4.11
2 Cl 0.5000 0.0000 0.0000  -0.02
3 Zn 0.0000 0.0000 0.0000  0.00
4 Cl 0.0000 0.5000 0.0000  -0.02
5 S 0.0000 0.0000 0.5000  -0.27

***

(2)
Entry from the Alexandria database: SrLi2Au at its PBEsol-relaxed geometry (meta-GGA SCAN).

Calculated values
Formation energy in eV per atom: -0.283
Magnetic moment in μB/cell: 0.000
Relative energy among the computed polymorphs in meV per atom: 243
Symmetry: No. 123

Unit cell a=3.6442 b=3.6442 c=6.6747 alpha=90.00 beta=90.00 gamma=90.00
Atoms (fractional coordinates):
1 Au 0.5000 0.5000 0.5000
2 Sr 0.5000 0.5000 0.0000
3 Li 0.0000 0.0000 0.3282
4 Li 0.0000 0.0000 0.6718

***

(3)
Entry from the Alexandria database: WBr2Cl at its PBEsol-relaxed geometry (meta-GGA SCAN).

Calculated values
Formation energy (no corrections) in eV per atom: 1.294
Magnetic moment in μB/cell: 2.890
Relative energy among the computed polymorphs in meV per atom: 1187
Symmetry: No. 47

Unit cell a=3.0792 b=4.7665 c=5.4069 alpha=90.00 beta=90.00 gamma=90.00
Site moments in Bohr magnetons follow the coordinates.
Atoms (fractional coordinates):
1 Br 0.5000 0.5000 0.0000  -0.05
2 Br 0.0000 0.0000 0.0000  0.05
3 W 0.0000 0.5000 0.5000  2.26
4 Cl 0.5000 0.0000 0.5000  -0.04

***

(4)
Entry from the Alexandria database: CsB5O8 at its PBEsol-relaxed geometry (meta-GGA SCAN).

Calculated values
Formation energy (no corrections) in eV per atom: -2.627
Magnetic moment in μB/cell: 0.000
Relative energy among the computed polymorphs in meV per atom: 0
Symmetry: No. 62

Unit cell a=7.9694 b=8.3717 c=9.6615 alpha=90.00 beta=90.00 gamma=90.00
Atoms (fractional coordinates):
1 B 0.2514 0.5848 0.9716
2 O 0.3178 0.2354 0.0355
3 B 0.2275 0.8492 0.6375
4 B 0.9100 0.8850 0.7500
5 O 0.8579 0.9710 0.6276
6 O 0.3466 0.7845 0.7500
7 B 0.7725 0.1508 0.3625
8 B 0.0900 0.1150 0.2500
9 B 0.7514 0.9152 0.5284
10 O 0.3178 0.2354 0.4645
11 Cs 0.0373 0.2865 0.7500
12 B 0.2486 0.0848 0.4716
13 O 0.8178 0.2646 0.4645
14 B 0.5900 0.3850 0.2500
15 O 0.2923 0.9967 0.9145
16 Cs 0.5373 0.2135 0.7500
17 O 0.7923 0.5033 0.9145
18 O 0.6421 0.4710 0.1276
19 B 0.2514 0.5848 0.5284
20 B 0.2275 0.8492 0.8625
21 O 0.1822 0.7354 0.9645
22 O 0.0966 0.8819 0.7500
23 O 0.8178 0.2646 0.0355
24 B 0.7275 0.6508 0.6375
25 O 0.8579 0.9710 0.8724
26 B 0.7725 0.1508 0.1375
27 O 0.3579 0.5290 0.6276
28 B 0.7486 0.4152 0.4716
29 O 0.4034 0.3819 0.2500
30 O 0.2077 0.4967 0.4145
31 O 0.7923 0.5033 0.5855
32 B 0.4100 0.6150 0.7500
33 O 0.6822 0.7646 0.5355
34 O 0.1421 0.0290 0.3724
35 Cs 0.4627 0.7865 0.2500
36 O 0.1822 0.7354 0.5355
37 O 0.3579 0.5290 0.8724
38 O 0.8466 0.7155 0.7500
39 O 0.2077 0.4967 0.0855
40 O 0.7077 0.0033 0.4145
41 O 0.6534 0.2155 0.2500
42 O 0.7077 0.0033 0.0855
43 O 0.1534 0.2845 0.2500
44 O 0.9034 0.1181 0.2500
45 B 0.7486 0.4152 0.0284
46 O 0.6822 0.7646 0.9645
47 B 0.2725 0.3492 0.3625
48 B 0.7275 0.6508 0.8625
49 O 0.5966 0.6181 0.7500
50 O 0.6421 0.4710 0.3724
51 O 0.2923 0.9967 0.5855
52 B 0.2725 0.3492 0.1375
53 O 0.1421 0.0290 0.1276
54 B 0.7514 0.9152 0.9716
55 B 0.2486 0.0848 0.0284
56 Cs 0.9627 0.7135 0.2500

***

(5)
Entry from the Alexandria database: Cu3SnP at its PBEsol-relaxed geometry (meta-GGA SCAN).

Calculated values
Formation energy in eV per atom: 0.316
Magnetic moment in μB/cell: 0.000
Symmetry: No. 221

Unit cell a=4.3776 b=4.3776 c=4.3776 alpha=90.00 beta=90.00 gamma=90.00
Atoms (fractional coordinates):
1 Cu 0.0000 0.5000 0.0000
2 Cu 0.5000 0.0000 0.0000
3 Cu 0.0000 0.0000 0.5000
4 Sn 0.5000 0.5000 0.5000
5 P 0.0000 0.0000 0.0000

***

(6)
Entry from the Alexandria database: SbOsCl2 at its PBEsol-relaxed geometry (meta-GGA SCAN).

Calculated values
Formation energy (no corrections) in eV per atom: 0.249
Magnetic moment in μB/cell: 0.000
Relative energy among the computed polymorphs in meV per atom: 0
Symmetry: No. 71

Unit cell a=3.0313 b=4.9274 c=6.5943 alpha=111.94 beta=103.29 gamma=90.00
Atoms (fractional coordinates):
1 Cl 0.6589 0.6589 0.3177
2 Os 0.0000 0.5000 0.0000
3 Sb 0.5000 0.0000 0.0000
4 Cl 0.3411 0.3411 0.6823

***

(7)
Entry from the Alexandria database: TaRu2Au at its PBEsol-relaxed geometry (meta-GGA SCAN).

Calculated values
Formation energy in eV per atom: -0.270
Magnetic moment in μB/cell: 0.000
Relative energy among the computed polymorphs in meV per atom: 0
Symmetry: No. 123

Unit cell a=3.7376 b=3.9881 c=3.9881 alpha=90.00 beta=90.00 gamma=90.00
Atoms (fractional coordinates):
1 Ta 0.5000 0.5000 0.5000
2 Ru 0.0000 0.5000 0.0000
3 Au 0.5000 0.0000 0.0000
4 Ru 0.0000 0.0000 0.5000

***

(8)
Entry from the Alexandria database: MoRu at its PBEsol-relaxed geometry (meta-GGA SCAN).

Calculated values
Formation energy in eV per atom: 0.061
Magnetic moment in μB/cell: 0.000
Symmetry: No. 12

Unit cell a=2.7254 b=4.7431 c=5.1911 alpha=117.01 beta=105.22 gamma=90.00
Atoms (fractional coordinates):
1 Ru 0.8691 0.7051 0.7382
2 Mo 0.3837 0.2187 0.7674
3 Ru 0.1309 0.2949 0.2618
4 Mo 0.6163 0.7813 0.2326

***

(9)
Entry from the Alexandria database: LaScS2 at its PBEsol-relaxed geometry (meta-GGA SCAN).

Calculated values
Formation energy (no corrections) in eV per atom: -1.782
Magnetic moment in μB/cell: 0.000
Symmetry: No. 122

Unit cell a=6.0705 b=6.0705 c=7.3647 alpha=114.34 beta=114.34 gamma=90.00
Atoms (fractional coordinates):
1 S 0.6250 0.5821 0.7500
2 La 0.2500 0.7500 0.5000
3 S 0.1250 0.1679 0.7500
4 S 0.4179 0.8750 0.2500
5 Sc 0.5000 0.5000 0.0000
6 Sc 0.7500 0.2500 0.5000
7 La 0.0000 0.0000 0.0000
8 S 0.8321 0.3750 0.2500

***

(10)
Entry from the Alexandria database: BaMoRuI2 at its PBEsol-relaxed geometry (meta-GGA SCAN).

Calculated values
Formation energy (no corrections) in eV per atom: 1.135
Magnetic moment in μB/cell: 1.250
Symmetry: No. 123

Unit cell a=5.2355 b=5.2355 c=5.8953 alpha=90.00 beta=90.00 gamma=90.00
Site moments in Bohr magnetons follow the coordinates.
Atoms (fractional coordinates):
1 I 0.0000 0.5000 0.0000  0.01
2 I 0.5000 0.0000 0.0000  0.01
3 Ru 0.5000 0.5000 0.5000  2.73
4 Ba 0.0000 0.0000 0.5000  -0.02
5 Mo 0.0000 0.0000 0.0000  -1.75

***

(11)
Entry from the Alexandria database: MgH2Se2O6 at its PBEsol-relaxed geometry (meta-GGA SCAN).

Calculated values
Magnetic moment in μB/cell: 0.000
Raw total energy in eV/atom: -9.450
Symmetry: No. 14

Unit cell a=5.1512 b=5.7375 c=9.4215 alpha=90.00 beta=101.21 gamma=90.00
Atoms (fractional coordinates):
1 O 0.7170 0.7293 0.9601
2 Se 0.2672 0.9951 0.3456
3 O 0.9891 0.9946 0.2193
4 Se 0.7328 0.0049 0.6544
5 O 0.7830 0.2293 0.5399
6 Mg 0.0000 0.0000 0.0000
7 Se 0.2328 0.4951 0.1544
8 O 0.2170 0.7707 0.4601
9 O 0.2830 0.2707 0.0399
10 H 0.4791 0.7282 0.0073
11 Se 0.7672 0.5049 0.8456
12 O 0.2913 0.7377 0.0435
13 O 0.0109 0.0054 0.7807
14 H 0.5209 0.2718 0.9927
15 O 0.4891 0.5054 0.7193
16 H 0.0209 0.2282 0.4927
17 Mg 0.5000 0.5000 0.5000
18 O 0.7087 0.2623 0.9565
19 O 0.5109 0.4946 0.2807
20 O 0.7913 0.7623 0.5435
21 H 0.9791 0.7718 0.5073
22 O 0.2087 0.2377 0.4565

***

(12)
Entry from the Alexandria database: Cu3Pt at its PBEsol-relaxed geometry (meta-GGA SCAN).

Calculated values
Formation energy in eV per atom: -0.141
Magnetic moment in μB/cell: 0.000
Symmetry: No. 65

Unit cell a=3.5909 b=5.2136 c=5.8696 alpha=116.37 beta=90.00 gamma=90.00
Atoms (fractional coordinates):
1 Cu 0.5000 0.8773 0.7547
2 Cu 0.5000 0.1227 0.2453
3 Cu 0.0000 0.2417 0.0000
4 Pt 0.5000 0.6282 0.2563
5 Cu 0.0000 0.0000 0.5000
6 Cu 0.0000 0.5000 0.5000
7 Cu 0.0000 0.7583 0.0000
8 Pt 0.5000 0.3718 0.7437

***

(13)
Entry from the Alexandria database: ZnCr2Rh at its PBEsol-relaxed geometry (meta-GGA SCAN).

Calculated values
Formation energy in eV per atom: 0.066
Magnetic moment in μB/cell: 0.000
Symmetry: No. 35

Unit cell a=2.5831 b=2.5831 c=8.1257 alpha=90.00 beta=90.00 gamma=112.96
Atoms (fractional coordinates):
1 Cr 0.5000 0.5000 0.7652
2 Rh 0.0000 0.0000 0.5104
3 Cr 0.0000 0.0000 0.9798
4 Zn 0.5000 0.5000 0.2445

***

(14)
Entry from the Alexandria database: AlPtBr4 at its PBEsol-relaxed geometry (meta-GGA SCAN).

Calculated values
Formation energy (no corrections) in eV per atom: 1.198
Magnetic moment in μB/cell: 0.000
Symmetry: No. 216

Unit cell a=5.9465 b=5.9465 c=5.9465 alpha=60.00 beta=60.00 gamma=60.00
Atoms (fractional coordinates):
1 Pt 0.7500 0.7500 0.7500
2 Br 0.3759 0.8722 0.3759
3 Br 0.3759 0.3759 0.8722
4 Al 0.0000 0.0000 0.0000
5 Br 0.8722 0.3759 0.3759
6 Br 0.3759 0.3759 0.3759

***

(15)
Entry from the Alexandria database: MgSbMo at its PBEsol-relaxed geometry (meta-GGA SCAN).

Calculated values
Formation energy (no corrections) in eV per atom: 0.333
Magnetic moment in μB/cell: 0.007
Relative energy among the computed polymorphs in meV per atom: 0
Symmetry: No. 156

Unit cell a=3.2081 b=3.2081 c=6.7825 alpha=90.00 beta=90.00 gamma=120.00
Atoms (fractional coordinates):
1 Mo 0.3333 0.6667 0.6560
2 Sb 0.6667 0.3333 0.3659
3 Mg 0.0000 0.0000 0.9780

***

(16)
Entry from the Alexandria database: Rb3CoF6 at its PBEsol-relaxed geometry (meta-GGA SCAN).

Calculated values
Formation energy (no corrections) in eV per atom: -2.741
Magnetic moment in μB/cell: 0.139
Symmetry: No. 225

Unit cell a=6.2426 b=6.2426 c=6.2426 alpha=60.00 beta=60.00 gamma=60.00
Site moments in Bohr magnetons follow the coordinates.
Atoms (fractional coordinates):
1 F 0.7915 0.2085 0.7915  0.00
2 F 0.2085 0.2085 0.7915  0.00
3 F 0.2085 0.7915 0.2085  0.00
4 F 0.7915 0.7915 0.2085  0.00
5 Rb 0.7500 0.7500 0.7500  0.00
6 F 0.7915 0.2085 0.2085  0.00
7 Co 0.0000 0.0000 0.0000  0.12
8 F 0.2085 0.7915 0.7915  0.00
9 Rb 0.5000 0.5000 0.5000  0.00
10 Rb 0.2500 0.2500 0.2500  0.00

***

(17)
Entry from the Alexandria database: Mg30TiCoO32 at its PBEsol-relaxed geometry (meta-GGA SCAN).

Calculated values
Formation energy (no corrections) in eV per atom: -2.933
Magnetic moment in μB/cell: 3.410
Symmetry: No. 123

Unit cell a=8.4518 b=8.4441 c=8.4441 alpha=90.00 beta=90.00 gamma=90.00
Site moments in Bohr magnetons follow the coordinates.
Atoms (fractional coordinates):
1 O 0.7497 0.5000 0.0000  0.00
2 O 0.5000 0.7486 0.0000  0.00
3 O 0.2503 0.0000 0.5000  0.00
4 Ti 0.0000 0.5000 0.5000  1.07
5 O 0.5000 0.0000 0.2514  0.00
6 O 0.2505 0.5000 0.5000  0.01
7 Mg 0.7482 0.2478 0.5000  0.00
8 O 0.2492 0.7495 0.7495  0.00
9 O 0.7508 0.7495 0.2505  0.00
10 O 0.5000 0.2514 0.0000  0.00
11 O 0.5000 0.0000 0.7486  0.00
12 Mg 0.5000 0.5000 0.0000  0.00
13 Mg 0.2518 0.5000 0.7522  0.00
14 Mg 0.7520 0.0000 0.2471  0.00
15 O 0.7508 0.2505 0.2505  0.00
16 Mg 0.5000 0.0000 0.5000  0.00
17 O 0.0000 0.0000 0.7394  0.02
18 O 0.5000 0.2509 0.5000  0.00
19 Mg 0.2480 0.7529 0.0000  0.00
20 Mg 0.7520 0.2471 0.0000  0.00
21 O 0.0000 0.0000 0.2606  0.02
22 O 0.5000 0.5000 0.2509  0.00
23 Mg 0.7482 0.7522 0.5000  0.00
24 O 0.7508 0.7495 0.7495  0.00
25 Mg 0.7520 0.7529 0.0000  0.00
26 Mg 0.5000 0.2489 0.2489  0.00
27 O 0.2503 0.5000 0.0000  0.00
28 Mg 0.7482 0.5000 0.2478  0.00
29 O 0.2492 0.2505 0.7495  0.00
30 O 0.5000 0.7491 0.5000  0.00
31 Mg 0.5000 0.2489 0.7511  0.00
32 O 0.0000 0.2606 0.0000  0.02
33 Mg 0.2480 0.0000 0.2471  0.00
34 Mg 0.5000 0.5000 0.5000  0.00
35 Mg 0.0000 0.5000 0.0000  0.00
36 Mg 0.0000 0.0000 0.5000  0.00
37 O 0.7508 0.2505 0.7495  0.00
38 O 0.2583 0.0000 0.0000  0.02
39 O 0.0000 0.7394 0.0000  0.02
40 O 0.0000 0.7449 0.5000  0.00
41 O 0.7495 0.5000 0.5000  0.01
42 Mg 0.7482 0.5000 0.7522  0.00
43 Mg 0.2518 0.2478 0.5000  0.00
44 O 0.2492 0.2505 0.2505  0.00
45 Mg 0.0000 0.7556 0.2444  0.00
46 Mg 0.2480 0.2471 0.0000  0.00
47 Mg 0.0000 0.2444 0.7556  0.00
48 O 0.7417 0.0000 0.0000  0.02
49 Mg 0.2518 0.7522 0.5000  0.00
50 O 0.0000 0.5000 0.7449  0.00
51 O 0.5000 0.5000 0.7491  0.00
52 O 0.0000 0.2551 0.5000  0.00
53 Mg 0.7520 0.0000 0.7529  0.00
54 O 0.7497 0.0000 0.5000  0.00
55 O 0.0000 0.5000 0.2551  0.00
56 O 0.2492 0.7495 0.2505  0.00
57 Mg 0.5000 0.0000 0.0000  0.00
58 Mg 0.0000 0.2444 0.2444  0.00
59 Mg 0.5000 0.7511 0.7511  0.00
60 Co 0.0000 0.0000 0.0000  2.05
61 Mg 0.5000 0.7511 0.2489  0.00
62 Mg 0.0000 0.7556 0.7556  0.00
63 Mg 0.2480 0.0000 0.7529  0.00
64 Mg 0.2518 0.5000 0.2478  0.00

***

(18)
Entry from the Alexandria database: LaMnN2F at its PBEsol-relaxed geometry (meta-GGA SCAN).

Calculated values
Formation energy (no corrections) in eV per atom: -0.222
Magnetic moment in μB/cell: 4.736
Symmetry: No. 123

Unit cell a=4.3981 b=4.3981 c=4.4674 alpha=90.00 beta=90.00 gamma=90.00
Site moments in Bohr magnetons follow the coordinates.
Atoms (fractional coordinates):
1 F 0.0000 0.0000 0.5000  0.02
2 La 0.0000 0.0000 0.0000  0.01
3 Mn 0.5000 0.5000 0.5000  4.70
4 N 0.5000 0.0000 0.0000  -0.12
5 N 0.0000 0.5000 0.0000  -0.12

***

(19)
Entry from the Alexandria database: LaPN2 at its PBEsol-relaxed geometry (meta-GGA SCAN).

Calculated values
Formation energy (no corrections) in eV per atom: 0.141
Magnetic moment in μB/cell: 0.333
Symmetry: No. 166

Unit cell a=2.8565 b=2.8565 c=7.0825 alpha=78.37 beta=78.37 gamma=60.00
Site moments in Bohr magnetons follow the coordinates.
Atoms (fractional coordinates):
1 N 0.1219 0.1219 0.6344  -0.01
2 La 0.0000 0.0000 0.0000  -0.23
3 N 0.8781 0.8781 0.3656  -0.01
4 P 0.5000 0.5000 0.5000  0.00

***

(20)
Entry from the Alexandria database: NiMo2Os at its PBEsol-relaxed geometry (meta-GGA SCAN).

Calculated values
Formation energy in eV per atom: 0.033
Magnetic moment in μB/cell: 0.000
Relative energy among the computed polymorphs in meV per atom: 53
Symmetry: No. 65

Unit cell a=2.7238 b=4.6440 c=4.6440 alpha=109.90 beta=90.00 gamma=90.00
Atoms (fractional coordinates):
1 Ni 0.5000 0.5000 0.5000
2 Os 0.5000 0.0000 0.0000
3 Mo 0.0000 0.0000 0.5000
4 Mo 0.0000 0.5000 0.0000